DFT (PBE+U) results for an optimized crystal structure of Tb2DyMoO8.

* total energy: -7.7160 eV per atom
* SG: No. 65

Lattice parameters (Å, degrees): 5.078 5.076 6.817 90.00 90.00 90.74
Site moments in Bohr magnetons follow the coordinates.
Sites, in units of the cell vectors:
O (0.727, 0.727, 0.000)  0.16
O (0.818, 0.182, 0.788)  0.09
O (0.307, 0.306, 0.500)  0.10
O (0.182, 0.818, 0.212)  0.09
O (0.693, 0.694, 0.500)  0.10
O (0.818, 0.182, 0.212)  0.09
O (0.182, 0.818, 0.788)  0.09
O (0.273, 0.273, 0.000)  0.16
Tb (0.500, 0.500, 0.250)  -0.01
Tb (0.500, 0.500, 0.750)  -0.01
Dy (0.000, 0.000, 0.500)  0.01
Mo (0.000, 0.000, 0.000)  -0.10